Arrangement w

VASP calculation (GGA-PBE) on an optimized crystal structure of Te2MoS2Br.

* volume: 28.9 Å³ per atom
* crystal system: triclinic
* SG: P-1

Geometry as POSCAR:
```
Te2MoS2Br
1.0
6.442 0.000 0.000
-1.439 7.640 0.000
-1.771 -3.273 7.054
Te Mo S Br
4 2 4 2
Direct
0.115 0.133 0.311 Te
0.379 0.666 0.833 Te
0.621 0.334 0.167 Te
0.885 0.867 0.689 Te
0.278 0.000 0.000 Mo
0.722 0.000 0.000 Mo
0.024 0.194 0.927 S
0.476 0.119 0.817 S
0.524 0.881 0.183 S
0.976 0.806 0.073 S
0.250 0.581 0.433 Br
0.750 0.419 0.567 Br
```

***

Arrangement x

VASP calculation (GGA-PBE) on an optimized crystal structure of Te2MoS2Br.

* volume: 29.3 Å³ per atom
* crystal system: triclinic
* SG: P-1

Geometry as POSCAR:
```
Te2MoS2Br
1.0
6.467 0.000 0.000
-1.383 7.871 0.000
-1.840 -3.716 6.900
Te Mo S Br
4 2 4 2
Direct
0.040 0.385 0.223 Te
0.127 0.832 0.194 Te
0.873 0.168 0.806 Te
0.960 0.615 0.777 Te
0.231 0.500 0.999 Mo
0.769 0.500 0.001 Mo
0.405 0.402 0.733 S
0.479 0.313 0.071 S
0.521 0.687 0.929 S
0.595 0.598 0.267 S
0.257 0.904 0.586 Br
0.743 0.096 0.414 Br
```

***

The data favor arrangement w; the next most stable structure lies 79 meV/atom above it.

***

Arrangement w

VASP calculation (GGA-PBE) on an optimized crystal structure of Te3MoSBr.

* volume: 32.8 Å³ per atom
* crystal system: triclinic
* SG: P-1

Geometry as POSCAR:
```
Te3MoSBr
1.0
6.770 0.000 0.000
-1.477 8.015 0.000
-3.342 -2.359 7.263
Te Mo S Br
6 2 2 2
Direct
0.094 0.277 0.066 Te
0.166 0.081 0.300 Te
0.335 0.719 0.787 Te
0.665 0.281 0.213 Te
0.834 0.919 0.700 Te
0.906 0.723 0.934 Te
0.287 0.999 0.000 Mo
0.713 0.001 0.000 Mo
0.471 0.174 0.865 S
0.529 0.826 0.135 S
0.151 0.724 0.415 Br
0.849 0.276 0.585 Br
```

***

Arrangement x

VASP calculation (GGA-PBE) on an optimized crystal structure of Te3MoSBr.

* volume: 31.4 Å³ per atom
* crystal system: triclinic
* SG: P-1

Geometry as POSCAR:
```
Te3MoSBr
1.0
6.686 0.000 0.000
-1.829 7.757 0.000
-1.506 -3.711 7.277
Te Mo S Br
6 2 2 2
Direct
0.034 0.436 0.229 Te
0.116 0.815 0.132 Te
0.380 0.321 0.682 Te
0.620 0.679 0.318 Te
0.884 0.185 0.868 Te
0.966 0.564 0.771 Te
0.285 0.500 0.000 Mo
0.715 0.500 0.000 Mo
0.473 0.317 0.107 S
0.527 0.683 0.893 S
0.247 0.918 0.583 Br
0.753 0.082 0.417 Br
```

***

The data favor arrangement x; the next most stable structure lies 24 meV/atom above it.